Compound: K3Tb3USe8
Source: Alexandria
Functional: PBE-GGA
Structure: relaxed

Summary:
* formation energy (no corrections): -1.6421 eV/atom
* crystal system: monoclinic
* magnetic moment: 4.0 μB/cell
* electronic total energy: -5.399 eV/atom

Cell lengths 14.5520, 8.3899, 9.1893 Å; angles 90.00, 121.88, 90.00 degrees
Space group C2/m (No. 12)
One atom of each set of equivalent atoms:
K1 0.0000 0.0000 0.0000 x2
K2 0.2500 0.2500 0.0000 x4
Tb1 0.0000 0.5000 0.5000 x2
Tb2 0.2500 0.2500 0.5000 x4
U1 0.0000 0.0000 0.5000 x2
Se1 0.0155 0.2468 0.2997 x8
Se2 0.2313 0.0000 0.7003 x4
Se3 0.2350 0.5000 0.7050 x4